Computed, not measured: crystalline Mn2FePb at its relaxed geometry at the PBE level of DFT.

POSCAR file:
```
Mn2FePb
1.0
-0.572 -0.260 4.644
0.235 -4.580 0.965
3.003 2.641 -2.444
Mn Fe Pb
2 1 1
direct
0.000 0.000 0.000
0.500 0.500 0.000
0.250 0.750 0.500
0.750 0.250 0.500
```

Summary:
- DFT formation energy: 0.44 eV/atom
- D(E_F): 3.6 states/eV per cell